Arrangement a

First-principles (PBE-GGA) data for crystalline Cs2MgMnBr6 at its relaxed geometry, as listed in the Alexandria database.

a = 7.7621 Å, b = 7.7621 Å, c = 38.5079 Å
α = 90.00°, β = 90.00°, γ = 120.00°
Space group R-3m (No. 166, hexagonal axes)
Inequivalent atoms, fractional coordinates:
Cs1 0.0000 0.0000 0.1245 x6
Cs2 0.0000 0.0000 0.2919 x6
Mg1 0.0000 0.0000 0.4138 x6
Mn1 0.0000 0.0000 0.0000 x3
Mn2 0.0000 0.0000 0.5000 x3
Br1 0.0026 0.5013 0.7072 x18
Br2 0.0174 0.5087 0.1236 x18

Computed properties:
M_tot: 5.0 μB per formula unit
density of states at the Fermi level: 0.0 states/eV/cell

Arrangement b

First-principles (PBE-GGA) data for crystalline Cs2MgMnBr6 at its relaxed geometry, as listed in the Alexandria database.

a = 10.885 Å, b = 10.885 Å, c = 10.885 Å
α = 90.00°, β = 90.00°, γ = 90.00°
Space group Fm-3m (No. 225)
Inequivalent atoms, fractional coordinates:
Cs1 0.250 0.250 0.250 x8
Mg1 0.000 0.000 0.000 x4
Mn1 0.000 0.000 0.500 x4
Br1 0.000 0.000 0.251 x24

Computed properties:
M_tot: 5.0 μB per formula unit
density of states at the Fermi level: 0.0 states/eV/cell

Which is the most stable structure? arrangement a is the most stable.

Arrangement a

First-principles (PBE-GGA) data for crystalline Cs2MgTiBr6 at its relaxed geometry, as listed in the Alexandria database.

a = 7.7661 Å, b = 7.7661 Å, c = 38.3691 Å
α = 90.00°, β = 90.00°, γ = 120.00°
Space group R-3m (No. 166, hexagonal axes)
Inequivalent atoms, fractional coordinates:
Cs1 0.0000 0.0000 0.1239 x6
Cs2 0.0000 0.0000 0.2920 x6
Mg1 0.0000 0.0000 0.0000 x3
Mg2 0.0000 0.0000 0.5000 x3
Ti1 0.0000 0.0000 0.4139 x6
Br1 0.0028 0.5014 0.7074 x18
Br2 0.0172 0.5086 0.1236 x18

Computed properties:
M_tot: 2.0 μB per formula unit
density of states at the Fermi level: 53.3 states/eV/cell

Arrangement b

First-principles (PBE-GGA) data for crystalline Cs2MgTiBr6 at its relaxed geometry, as listed in the Alexandria database.

a = 10.880 Å, b = 10.880 Å, c = 10.880 Å
α = 90.00°, β = 90.00°, γ = 90.00°
Space group Fm-3m (No. 225)
Inequivalent atoms, fractional coordinates:
Cs1 0.250 0.250 0.250 x8
Mg1 0.000 0.000 0.000 x4
Ti1 0.000 0.000 0.500 x4
Br1 0.000 0.000 0.250 x24

Computed properties:
M_tot: 2.0 μB per formula unit
density of states at the Fermi level: 58.3 states/eV/cell

Which is the most stable structure? arrangement a is the most stable.

Arrangement a

First-principles (PBE-GGA) data for crystalline CsMnBr2 at its relaxed geometry, as listed in the Alexandria database.

a = 4.1948 Å, b = 4.1948 Å, c = 29.7367 Å
α = 90.00°, β = 90.00°, γ = 120.00°
Space group R-3m (No. 166, hexagonal axes)
Inequivalent atoms, fractional coordinates:
Cs1 0.0000 0.0000 0.0000 x3
Mn1 0.0000 0.0000 0.5000 x3
Br1 0.0000 0.0000 0.1192 x6

Computed properties:
M_tot: 4.6 μB per formula unit
density of states at the Fermi level: 10.6 states/eV/cell

Arrangement b

First-principles (PBE-GGA) data for crystalline CsMnBr2 at its relaxed geometry, as listed in the Alexandria database.

a = 8.237 Å, b = 8.237 Å, c = 8.237 Å
α = 90.00°, β = 90.00°, γ = 90.00°
Space group Fm-3m (No. 225)
Inequivalent atoms, fractional coordinates:
Cs1 0.000 0.000 0.000 x4
Mn1 0.000 0.000 0.500 x4
Br1 0.250 0.250 0.250 x8

Computed properties:
M_tot: 6.0 μB per formula unit
density of states at the Fermi level: 0.0 states/eV/cell

Which is the most stable structure? arrangement a is the most stable.

Arrangement a

First-principles (PBE-GGA) data for crystalline CsRb2MnBr6 at its relaxed geometry, as listed in the Alexandria database.

a = 8.006 Å, b = 8.787 Å, c = 13.541 Å
α = 90.00°, β = 123.23°, γ = 90.00°
Space group P2_1/c (No. 14)
Inequivalent atoms, fractional coordinates:
Cs1 0.000 0.000 0.000 x2
Rb1 0.208 0.070 0.741 x4
Mn1 0.500 0.000 0.500 x2
Br1 0.213 0.156 0.465 x4
Br2 0.249 0.739 0.409 x4
Br3 0.421 0.065 0.301 x4

Computed properties:
M_tot: 4.0 μB per formula unit
density of states at the Fermi level: 2.7 states/eV/cell

Arrangement b

First-principles (PBE-GGA) data for crystalline CsRb2MnBr6 at its relaxed geometry, as listed in the Alexandria database.

a = 11.837 Å, b = 11.837 Å, c = 11.837 Å
α = 90.00°, β = 90.00°, γ = 90.00°
Space group Fm-3m (No. 225)
Inequivalent atoms, fractional coordinates:
Cs1 0.000 0.000 0.000 x4
Rb1 0.250 0.250 0.250 x8
Mn1 0.000 0.000 0.500 x4
Br1 0.000 0.000 0.284 x24

Computed properties:
M_tot: 4.0 μB per formula unit
density of states at the Fermi level: 26.1 states/eV/cell

Which is the most stable structure? arrangement a is the most stable.

Arrangement a

First-principles (PBE-GGA) data for crystalline Cs2MoBr5 at its relaxed geometry, as listed in the Alexandria database.

a = 8.138 Å, b = 8.138 Å, c = 10.201 Å
α = 90.00°, β = 90.00°, γ = 90.00°
Space group I4mm (No. 107)
Inequivalent atoms, fractional coordinates:
Cs1 0.000 0.500 0.000 x4
Mo1 0.000 0.000 0.219 x2
Br1 0.000 0.000 0.976 x2
Br2 0.223 0.223 0.252 x8

Computed properties:
M_tot: 3.0 μB per formula unit

Arrangement b

First-principles (PBE-GGA) data for crystalline Cs2MoBr5 at its relaxed geometry, as listed in the Alexandria database.

a = 9.880 Å, b = 7.656 Å, c = 15.979 Å
α = 90.00°, β = 90.00°, γ = 90.00°
Space group Pnma (No. 62)
Inequivalent atoms, fractional coordinates:
Cs1 0.028 0.250 0.204 x4
Cs2 0.169 0.750 0.419 x4
Mo1 0.172 0.750 0.062 x4
Br1 0.000 0.000 0.000 x4
Br2 0.030 0.750 0.197 x4
Br3 0.173 0.009 0.617 x8
Br4 0.204 0.250 0.415 x4

Computed properties:
M_tot: 3.0 μB per formula unit

Which is the most stable structure? arrangement b is the most stable.

Arrangement a

First-principles (PBE-GGA) data for crystalline CsMoBr6 at its relaxed geometry, as listed in the Alexandria database.

a = 12.817 Å, b = 6.889 Å, c = 13.311 Å
α = 90.00°, β = 102.27°, γ = 90.00°
Space group C2/c (No. 15)
Inequivalent atoms, fractional coordinates:
Cs1 0.000 0.104 0.250 x4
Mo1 0.250 0.250 0.000 x4
Br1 0.076 0.383 0.898 x8
Br2 0.155 0.052 0.538 x8
Br3 0.214 0.409 0.160 x8

Computed properties:
M_tot: 1.0 μB per formula unit
density of states at the Fermi level: 24.5 states/eV/cell

Arrangement b

First-principles (PBE-GGA) data for crystalline CsMoBr6 at its relaxed geometry, as listed in the Alexandria database.

a = 8.700 Å, b = 10.430 Å, c = 6.839 Å
α = 90.00°, β = 106.48°, γ = 90.00°
Space group C2/m (No. 12)
Inequivalent atoms, fractional coordinates:
Cs1 0.000 0.000 0.000 x2
Mo1 0.000 0.500 0.500 x2
Br1 0.097 0.329 0.767 x8
Br2 0.231 0.000 0.570 x4

Computed properties:
M_tot: 1.0 μB per formula unit
density of states at the Fermi level: 13.1 states/eV/cell

Which is the most stable structure? arrangement a is the most stable.